The following is a GGA-PBE calculation of a relaxed structure of Sr2Ge3Pd2, from Alexandria via LeMat-Bulk.

POSCAR file:
```
Sr2Ge3Pd2
1.0
2.2369 -9.4158 0.0000
2.2369 9.4158 0.0000
0.0000 0.0000 7.2893
Sr Ge Pd
4 6 4
Direct
0.0608 0.9392 0.7500 Sr
0.1569 0.8431 0.2500 Sr
0.8431 0.1569 0.7500 Sr
0.9392 0.0608 0.2500 Sr
0.2277 0.7723 0.7500 Ge
0.4399 0.5601 0.5745 Ge
0.4399 0.5601 0.9255 Ge
0.5601 0.4399 0.0745 Ge
0.5601 0.4399 0.4255 Ge
0.7723 0.2277 0.2500 Ge
0.3058 0.6942 0.0519 Pd
0.3058 0.6942 0.4481 Pd
0.6942 0.3058 0.5519 Pd
0.6942 0.3058 0.9481 Pd
```

Values from the calculation:
Density of states at the Fermi level ... 6.5 states/eV per cell
Polymorph energy (0 for the lowest one) ... 0.0000 eV/atom
ΔE_f ... -0.630 eV per atom
Electronic total energy ... -0.336 Ry per atom

***

The following is a GGA-PBE calculation of a relaxed structure of SrGe2Pd4, from Alexandria via LeMat-Bulk.

POSCAR file:
```
SrGe2Pd4
1.0
8.0705 0.0000 0.0000
0.0000 8.0705 0.0000
0.0000 0.0000 3.9135
Sr Ge Pd
2 4 8
Direct
0.0000 0.0000 0.0000 Sr
0.5000 0.5000 0.5000 Sr
0.2254 0.2254 0.5000 Ge
0.2746 0.7254 0.0000 Ge
0.7254 0.2746 0.0000 Ge
0.7746 0.7746 0.5000 Ge
0.0793 0.6688 0.5000 Pd
0.1688 0.4207 0.0000 Pd
0.3312 0.9207 0.5000 Pd
0.4207 0.1688 0.0000 Pd
0.5793 0.8312 0.0000 Pd
0.6688 0.0793 0.5000 Pd
0.8312 0.5793 0.0000 Pd
0.9207 0.3312 0.5000 Pd
```

Values from the calculation:
Density of states at the Fermi level ... 7.4 states/eV per cell
Polymorph energy (0 for the lowest one) ... 0.0000 eV/atom
ΔE_f ... -0.638 eV per atom
Electronic total energy ... -0.380 Ry per atom

***

The following is a GGA-PBE calculation of a relaxed structure of Sr2GePd2, from Alexandria via LeMat-Bulk.

POSCAR file:
```
Sr2GePd2
1.0
7.3717 0.0000 0.0000
0.0000 7.3717 0.0000
0.0000 0.0000 4.4731
Sr Ge Pd
4 2 4
Direct
0.1755 0.3245 0.0000 Sr
0.3245 0.8245 0.0000 Sr
0.6755 0.1755 0.0000 Sr
0.8245 0.6755 0.0000 Sr
0.0000 0.0000 0.5000 Ge
0.5000 0.5000 0.5000 Ge
0.1359 0.6359 0.5000 Pd
0.3641 0.1359 0.5000 Pd
0.6359 0.8641 0.5000 Pd
0.8641 0.3641 0.5000 Pd
```

Values from the calculation:
Density of states at the Fermi level ... 6.1 states/eV per cell
ΔE_f ... -0.513 eV per atom
Electronic total energy ... -0.308 Ry per atom

***

The following is a GGA-PBE calculation of a relaxed structure of Sr3Ge2Pd6, from Alexandria via LeMat-Bulk.

POSCAR file:
```
Sr3Ge2Pd6
1.0
-4.8967 4.8967 4.8967
4.8967 -4.8967 4.8967
4.8967 4.8967 -4.8967
Sr Ge Pd
6 4 12
Direct
0.0000 0.2999 0.2999 Sr
0.0000 0.7001 0.7001 Sr
0.2999 0.0000 0.2999 Sr
0.2999 0.2999 0.0000 Sr
0.7001 0.0000 0.7001 Sr
0.7001 0.7001 0.0000 Sr
0.0000 0.0000 0.5000 Ge
0.0000 0.5000 0.0000 Ge
0.5000 0.0000 0.0000 Ge
0.5000 0.5000 0.5000 Ge
0.0000 0.3179 0.6821 Pd
0.0000 0.6821 0.3179 Pd
0.3179 0.0000 0.6821 Pd
0.3179 0.3179 0.6359 Pd
0.3179 0.6359 0.3179 Pd
0.3179 0.6821 0.0000 Pd
0.3641 0.6821 0.6821 Pd
0.6359 0.3179 0.3179 Pd
0.6821 0.0000 0.3179 Pd
0.6821 0.3179 0.0000 Pd
0.6821 0.3641 0.6821 Pd
0.6821 0.6821 0.3641 Pd
```

Values from the calculation:
Density of states at the Fermi level ... 14.2 states/eV per cell
ΔE_f ... -0.639 eV per atom
Electronic total energy ... -0.351 Ry per atom

***

The following is a GGA-PBE calculation of a relaxed structure of Sr3Ge2Pd2, from Alexandria via LeMat-Bulk.

POSCAR file:
```
Sr3Ge2Pd2
1.0
5.9885 0.0000 0.0000
0.0000 8.5738 0.0000
0.0000 0.0000 13.9279
Sr Ge Pd
12 8 8
Direct
0.1341 0.1130 0.1036 Sr
0.1341 0.1130 0.3964 Sr
0.1341 0.3870 0.6036 Sr
0.1341 0.3870 0.8964 Sr
0.3513 0.7435 0.7500 Sr
0.3513 0.7565 0.2500 Sr
0.6487 0.2435 0.7500 Sr
0.6487 0.2565 0.2500 Sr
0.8659 0.6130 0.1036 Sr
0.8659 0.6130 0.3964 Sr
0.8659 0.8870 0.6036 Sr
0.8659 0.8870 0.8964 Sr
0.1690 0.0929 0.7500 Ge
0.1690 0.4071 0.2500 Ge
0.3880 0.7500 0.0000 Ge
0.3880 0.7500 0.5000 Ge
0.6120 0.2500 0.0000 Ge
0.6120 0.2500 0.5000 Ge
0.8310 0.5929 0.7500 Ge
0.8310 0.9071 0.2500 Ge
0.3801 0.0275 0.5873 Pd
0.3801 0.0275 0.9127 Pd
0.3801 0.4725 0.0873 Pd
0.3801 0.4725 0.4127 Pd
0.6199 0.5275 0.5873 Pd
0.6199 0.5275 0.9127 Pd
0.6199 0.9725 0.0873 Pd
0.6199 0.9725 0.4127 Pd
```

Values from the calculation:
Density of states at the Fermi level ... 12.1 states/eV per cell
ΔE_f ... -0.700 eV per atom
Electronic total energy ... -0.310 Ry per atom

***

The following is a GGA-PBE calculation of a relaxed structure of Sr3Ge9Pd2, from Alexandria via LeMat-Bulk.

POSCAR file:
```
Sr3Ge9Pd2
1.0
-2.1463 5.5002 6.4360
2.1463 -5.5002 6.4360
2.1463 5.5002 -6.4360
Sr Ge Pd
3 9 2
Direct
0.0000 0.0000 0.0000 Sr
0.3121 0.3121 0.0000 Sr
0.6879 0.6879 0.0000 Sr
0.0217 0.6586 0.3631 Ge
0.1534 0.8695 0.2839 Ge
0.2955 0.6586 0.6369 Ge
0.4144 0.1305 0.2839 Ge
0.5000 0.0000 0.5000 Ge
0.5856 0.8695 0.7161 Ge
0.7045 0.3414 0.3631 Ge
0.8466 0.1305 0.7161 Ge
0.9783 0.3414 0.6369 Ge
0.2814 0.5000 0.7814 Pd
0.7186 0.5000 0.2186 Pd
```

Values from the calculation:
Density of states at the Fermi level ... 5.8 states/eV per cell
ΔE_f ... -0.361 eV per atom
Electronic total energy ... -0.326 Ry per atom

***

The following is a GGA-PBE calculation of a relaxed structure of Sr2GePd6, from Alexandria via LeMat-Bulk.

POSCAR file:
```
Sr2GePd6
1.0
5.8954 0.0000 0.0000
-2.9477 5.1056 0.0000
0.0000 0.0000 5.8418
Sr Ge Pd
2 1 6
Direct
0.3333 0.6667 0.1783 Sr
0.6667 0.3333 0.8217 Sr
0.0000 0.0000 0.0000 Ge
0.1707 0.3414 0.6922 Pd
0.1707 0.8293 0.6922 Pd
0.3414 0.1707 0.3078 Pd
0.6586 0.8293 0.6922 Pd
0.8293 0.1707 0.3078 Pd
0.8293 0.6586 0.3078 Pd
```

Values from the calculation:
Density of states at the Fermi level ... 3.3 states/eV per cell
Polymorph energy (0 for the lowest one) ... 0.0271 eV/atom
ΔE_f ... -0.559 eV per atom
Electronic total energy ... -0.361 Ry per atom

***

The following is a GGA-PBE calculation of a relaxed structure of SrGePd3, from Alexandria via LeMat-Bulk.

POSCAR file:
```
SrGePd3
1.0
-2.8546 4.5864 4.0777
2.8546 -4.5864 4.0777
2.8546 4.5864 -4.0777
Sr Ge Pd
2 2 6
Direct
0.2889 0.0389 0.2500 Sr
0.7111 0.9611 0.7500 Sr
0.0000 0.5000 0.5000 Ge
0.5000 0.5000 0.0000 Ge
0.1253 0.3753 0.7500 Pd
0.2321 0.0000 0.7321 Pd
0.2321 0.5000 0.2321 Pd
0.7679 0.0000 0.2679 Pd
0.7679 0.5000 0.7679 Pd
0.8747 0.6247 0.2500 Pd
```

Values from the calculation:
Density of states at the Fermi level ... 4.3 states/eV per cell
Polymorph energy (0 for the lowest one) ... 0.0000 eV/atom
ΔE_f ... -0.617 eV per atom
Electronic total energy ... -0.367 Ry per atom

***

The following is a GGA-PBE calculation of a relaxed structure of SrGe3Pd, from Alexandria via LeMat-Bulk.

POSCAR file:
```
SrGe3Pd
1.0
4.4996 0.0000 0.0000
0.0000 4.4996 0.0000
0.0000 0.0000 10.4676
Sr Ge Pd
2 6 2
Direct
0.0000 0.0000 0.0000 Sr
0.5000 0.5000 0.5000 Sr
0.0000 0.0000 0.4015 Ge
0.0000 0.5000 0.2532 Ge
0.0000 0.5000 0.7532 Ge
0.5000 0.0000 0.2532 Ge
0.5000 0.0000 0.7532 Ge
0.5000 0.5000 0.9015 Ge
0.0000 0.0000 0.6419 Pd
0.5000 0.5000 0.1419 Pd
```

Values from the calculation:
Density of states at the Fermi level ... 3.7 states/eV per cell
ΔE_f ... -0.555 eV per atom
Electronic total energy ... -0.345 Ry per atom

***

The following is a GGA-PBE calculation of a relaxed structure of Sr2Ge2Pd3, from Alexandria via LeMat-Bulk.

POSCAR file:
```
Sr2Ge2Pd3
1.0
11.4451 0.0000 0.0000
0.0000 4.0723 0.0000
-3.0923 0.0000 6.6861
Sr Ge Pd
4 4 6
Direct
0.1252 0.0000 0.2629 Sr
0.3748 0.5000 0.7371 Sr
0.6252 0.5000 0.2629 Sr
0.8748 0.0000 0.7371 Sr
0.1501 0.0000 0.7199 Ge
0.3499 0.5000 0.2801 Ge
0.6501 0.5000 0.7199 Ge
0.8499 0.0000 0.2801 Ge
0.0000 0.5000 0.5000 Pd
0.1535 0.5000 0.9199 Pd
0.3465 0.0000 0.0801 Pd
0.5000 0.0000 0.5000 Pd
0.6535 0.0000 0.9199 Pd
0.8465 0.5000 0.0801 Pd
```

Values from the calculation:
Density of states at the Fermi level ... 4.7 states/eV per cell
ΔE_f ... -0.684 eV per atom
Electronic total energy ... -0.346 Ry per atom